No. 1
# Tb4Zn2Cd, relaxed, DFT PBE
data_Tb4Zn2Cd
_cell_length_a 5.0164
_cell_length_b 5.0164
_cell_length_c 26.8596
_cell_angle_alpha 90.00
_cell_angle_beta 90.00
_cell_angle_gamma 120.00
_space_group_name_H-M_alt 'R -3 m'
_space_group_IT_number 166
_space_group_name_Hall '-R 3 2"'
loop_
_atom_site_label
_atom_site_fract_x
_atom_site_fract_y
_atom_site_fract_z
Tb1 0.0000 0.0000 0.1189
Tb2 0.0000 0.0000 0.2946
Zn1 0.0000 0.0000 0.4026
Cd1 0.0000 0.0000 0.5000
# Offset from the most stable computed form   0.135 eV/atom
# DOS at the Fermi energy   1.5231 states/eV per atom

No. 2
# Li3Cu2Pd3, relaxed, DFT PBE
data_Li3Cu2Pd3
_cell_length_a 7.0974
_cell_length_b 7.0974
_cell_length_c 2.7259
_cell_angle_alpha 90.00
_cell_angle_beta 90.00
_cell_angle_gamma 120.00
_space_group_name_H-M_alt 'P -6 2 m'
_space_group_IT_number 189
_space_group_name_Hall 'P -6 -2'
loop_
_atom_site_label
_atom_site_fract_x
_atom_site_fract_y
_atom_site_fract_z
Li1 0.0000 0.2604 0.0000
Cu1 0.3333 0.6667 0.0000
Pd1 0.0000 0.6162 0.5000
# Offset from the most stable computed form   0.033 eV/atom
# DOS at the Fermi energy   0.1914 states/eV per atom

No. 3
# Tb5Bi2Te2, relaxed, DFT PBE
data_Tb5Bi2Te2
_cell_length_a 15.590
_cell_length_b 8.190
_cell_length_c 8.224
_cell_angle_alpha 90.00
_cell_angle_beta 90.00
_cell_angle_gamma 90.00
_space_group_name_H-M_alt 'C m c e'
_space_group_IT_number 64
_space_group_name_Hall '-C 2ac 2'
loop_
_atom_site_label
_atom_site_fract_x
_atom_site_fract_y
_atom_site_fract_z
Tb1 0.000 0.000 0.000
Tb2 0.139 0.158 0.343
Bi1 0.000 0.146 0.644
Te1 0.198 0.000 0.000
# Offset from the most stable computed form   0.000 eV/atom
# DOS at the Fermi energy   0.8670 states/eV per atom

Which of these has the highest DOS at the Fermi energy? Tb4Zn2Cd